Record 1
Entry from the Open Quantum Materials Database: an optimized crystal structure of PrYAg2Bi4 (PBE-GGA).

The structure belongs to space group P4mm (No. 99); the cell edges are 4.578, 4.578 and 10.449 Å and the angles 90.00°, 90.00° and 90.00°. Symmetry generates all atoms from Pr at (0.000, 0.000, 0.000), Y at (0.500, 0.500, 0.503), Ag at (0.000, 0.500, 0.259), Bi at (0.000, 0.000, 0.444), Bi at (0.000, 0.500, 0.747) and Bi at (0.500, 0.500, 0.071).

The total energy is -4.638 eV per atom.



Record 2
Entry from the Open Quantum Materials Database: an optimized crystal structure of Ag2BiPt (PBE-GGA).

The structure belongs to space group F-43m (No. 216); the cell edges are 6.789, 6.789 and 6.789 Å and the angles 90.00°, 90.00° and 90.00°. Symmetry generates all atoms from Ag at (0.000, 0.000, 0.000), Ag at (0.250, 0.250, 0.250), Bi at (0.000, 0.000, 0.500) and Pt at (0.250, 0.250, 0.750).

The total energy is -3.942 eV per atom.



Record 3
Entry from the Open Quantum Materials Database: an optimized crystal structure of AgBiPt2 (PBE-GGA).

The structure belongs to space group F-43m (No. 216); the cell edges are 6.712, 6.712 and 6.712 Å and the angles 90.00°, 90.00° and 90.00°. Symmetry generates all atoms from Ag at (0.000, 0.000, 0.000), Bi at (0.250, 0.250, 0.750), Pt at (0.000, 0.000, 0.500) and Pt at (0.250, 0.250, 0.250).

The total energy is -4.707 eV per atom.



Record 4
Entry from the Open Quantum Materials Database: an optimized crystal structure of AgBiPtS3 (PBE-GGA).

The structure belongs to space group P2_12_12_1 (No. 19); the cell edges are 4.988, 8.087 and 13.499 Å and the angles 90.00°, 90.00° and 90.00°. Symmetry generates all atoms from Ag at (0.037, 0.106, 0.446), Bi at (0.064, 0.127, 0.132), Pt at (0.015, 0.634, 0.746), S at (0.196, 0.148, 0.911), S at (0.223, 0.380, 0.710) and S at (0.231, 0.626, 0.899).

The total energy is -4.516 eV per atom.



Record 5
Entry from the Open Quantum Materials Database: an optimized crystal structure of AgBiTe3Pt (PBE-GGA).

The structure belongs to space group P2_12_12_1 (No. 19); the cell edges are 5.340, 8.552 and 14.774 Å and the angles 90.00°, 90.00° and 90.00°. Symmetry generates all atoms from Ag at (0.014, 0.004, 0.481), Bi at (0.172, 0.014, 0.168), Te at (0.245, 0.260, 0.906), Te at (0.249, 0.283, 0.405), Te at (0.249, 0.514, 0.191) and Pt at (0.000, 0.236, 0.750).

The total energy is -3.950 eV per atom.



Record 6
Entry from the Open Quantum Materials Database: an optimized crystal structure of RbAgBi (PBE-GGA).

The structure belongs to space group F-43m (No. 216); the cell edges are 7.517, 7.517 and 7.517 Å and the angles 90.00°, 90.00° and 90.00°. Symmetry generates all atoms from Rb at (0.000, 0.000, 0.000), Ag at (0.250, 0.250, 0.750) and Bi at (0.000, 0.000, 0.500).

The calculation puts the energy relative to the lowest polymorph listed for this composition at 0.000 eV per atom.